Entry 1:
! MgZrTa2, optimized geometry, DFT PBE; values from VASP
&SYSTEM
  ibrav = 0, nat = 4, ntyp = 3
/
ATOMIC_SPECIES
Mg 24.30 Mg.upf
Zr 91.22 Zr.upf
Ta 180.95 Ta.upf
CELL_PARAMETERS angstrom
-2.199 2.199 4.065
2.199 -2.199 4.065
2.199 2.199 -4.065
ATOMIC_POSITIONS crystal
Mg 0.000 0.000 0.000
Zr 0.750 0.250 0.500
Ta 0.250 0.750 0.500
Ta 0.500 0.500 0.000
! Calculated total energy ... -32.840 eV/cell

Entry 2:
! MgZrTa2, optimized geometry, DFT PBE; values from VASP
&SYSTEM
  ibrav = 0, nat = 4, ntyp = 3
/
ATOMIC_SPECIES
Mg 24.30 Mg.upf
Zr 91.22 Zr.upf
Ta 180.95 Ta.upf
CELL_PARAMETERS angstrom
5.092 -1.495 0.000
5.092 1.495 0.000
-0.892 0.000 5.193
ATOMIC_POSITIONS crystal
Mg 0.000 0.000 0.000
Zr 0.500 0.500 0.500
Ta 0.254 0.254 0.759
Ta 0.746 0.746 0.241
! Calculated total energy ... -32.893 eV/cell

Entry 3:
! MgZrTa, optimized geometry, DFT PBE; values from VASP
&SYSTEM
  ibrav = 0, nat = 6, ntyp = 3
/
ATOMIC_SPECIES
Mg 24.30 Mg.upf
Zr 91.22 Zr.upf
Ta 180.95 Ta.upf
CELL_PARAMETERS angstrom
2.995 0.000 0.000
0.901 2.857 0.000
0.011 0.002 14.741
ATOMIC_POSITIONS crystal
Mg 0.247 0.251 0.087
Mg 0.753 0.749 0.913
Zr 0.251 0.248 0.733
Zr 0.749 0.752 0.267
Ta 0.250 0.251 0.426
Ta 0.750 0.749 0.574
! Energy above the lowest structure with this stoichiometry ... 0 meV/atom
! Calculated total energy ... -43.715 eV/cell

Entry 4:
! MgZrTa2, optimized geometry, DFT PBE; values from VASP
&SYSTEM
  ibrav = 0, nat = 8, ntyp = 3
/
ATOMIC_SPECIES
Mg 24.30 Mg.upf
Zr 91.22 Zr.upf
Ta 180.95 Ta.upf
CELL_PARAMETERS angstrom
-2.017 2.017 10.222
2.017 -2.017 10.222
2.017 2.017 -10.222
ATOMIC_POSITIONS crystal
Mg 0.000 0.000 0.000
Mg 0.750 0.250 0.500
Zr 0.250 0.750 0.500
Zr 0.500 0.500 0.000
Ta 0.132 0.625 0.007
Ta 0.375 0.382 0.507
Ta 0.618 0.125 0.993
Ta 0.875 0.868 0.493
! Calculated total energy ... -62.800 eV/cell

> Which value of calculated total energy does entry 4 give?

-62.800 eV/cell

> Which of these has the lowest calculated total energy?

number 4

> Which of these has the lowest calculated total energy?

number 4